Record 1
## Li2NiH6Rh (PBE)

Data for a relaxed structure of Li2NiH6Rh.

abc: 6.624 6.704 4.696
angles: 90.00 134.59 90.00
Space group C2/m (No. 12)
One atom of each set of equivalent atoms:
Li (0.000, 0.250, 0.000) (multiplicity 4)
Ni (0.000, 0.000, 0.500) (multiplicity 2)
H (0.000, 0.244, 0.500) (multiplicity 4)
H (0.243, 0.000, 0.500) (multiplicity 4)
H (0.244, 0.000, 0.988) (multiplicity 4)
Rh (0.000, 0.500, 0.500) (multiplicity 2)

Calculated values
Final energy   -4.0146 eV/atom
Magnetization   0.0 μB/f.u.
DOS(E_F)   0.298 states/eV per atom

---

Record 2
## LiNi2HRu (PBE)

Data for a relaxed structure of LiNi2HRu.

abc: 3.827 3.827 4.267
angles: 90.00 90.00 90.00
Space group P4/mmm (No. 123)
One atom of each set of equivalent atoms:
Li (0.000, 0.000, 0.000) (multiplicity 1)
Ni (0.000, 0.500, 0.000) (multiplicity 2)
H (0.500, 0.500, 0.500) (multiplicity 1)
Ru (0.000, 0.000, 0.500) (multiplicity 1)

Calculated values
Final energy   -3.6633 eV/atom
Magnetization   2.7 μB/f.u.
DOS(E_F)   1.051 states/eV per atom

---

Record 3
## LiNi2SbH (PBE)

Data for a relaxed structure of LiNi2SbH.

abc: 3.820 3.820 3.818
angles: 90.00 90.00 90.00
Space group P4/mmm (No. 123)
One atom of each set of equivalent atoms:
Li (0.000, 0.000, 0.000) (multiplicity 1)
Ni (0.000, 0.500, 0.500) (multiplicity 2)
Sb (0.500, 0.500, 0.000) (multiplicity 1)
H (0.000, 0.000, 0.500) (multiplicity 1)

Calculated values
Final energy   -4.4260 eV/atom
Magnetization   0.0 μB/f.u.
DOS(E_F)   0.795 states/eV per atom

---

Which formula does entry 2 have? LiNi2HRu

---

Among the records above, which one has the lowest DOS(E_F)? Li2NiH6Rh

---

What did the first record say?
## Li2NiH6Rh (PBE)

Data for a relaxed structure of Li2NiH6Rh.

abc: 6.624 6.704 4.696
angles: 90.00 134.59 90.00
Space group C2/m (No. 12)
One atom of each set of equivalent atoms:
Li (0.000, 0.250, 0.000) (multiplicity 4)
Ni (0.000, 0.000, 0.500) (multiplicity 2)
H (0.000, 0.244, 0.500) (multiplicity 4)
H (0.243, 0.000, 0.500) (multiplicity 4)
H (0.244, 0.000, 0.988) (multiplicity 4)
Rh (0.000, 0.500, 0.500) (multiplicity 2)

Calculated values
Final energy   -4.0146 eV/atom
Magnetization   0.0 μB/f.u.
DOS(E_F)   0.298 states/eV per atom